[1]
AlV6Rh12: optimized geometry, PBE-GGA. Values from VASP.

Summary:
* space-group type: R-3, No. 148
* ΔH_f (0 K): -0.392 eV per atom
* size of the total moment: 0.0 Bohr magnetons per cell

The structure in Quantum ESPRESSO input format:
```
&SYSTEM
  ibrav = 0, nat = 19, ntyp = 3
/
ATOMIC_SPECIES
V 50.94 V.upf
Rh 102.91 Rh.upf
Al 26.98 Al.upf
CELL_PARAMETERS angstrom
7.0220 -0.8640 -1.0350
-1.9186 6.8099 -1.0350
-1.9186 -2.2353 6.5153
ATOMIC_POSITIONS angstrom
V 1.3126 -1.1253 3.3620
Rh 4.6204 -0.2739 0.2226
V 1.8723 4.8360 1.0833
Rh -0.1003 0.9881 2.5710
Rh 0.8439 3.4531 3.0137
V -0.0845 1.8813 4.9517
Rh 2.1930 1.1901 3.9360
Rh -0.9712 -0.5897 4.4924
Rh 2.3411 0.2576 1.4316
V 4.4962 0.6042 2.7358
Rh 3.2852 2.7226 1.8743
Rh 3.6206 -0.8970 4.6750
Al 0.0000 0.0000 0.0000
Rh -0.4357 4.6076 -0.2297
Rh 4.1561 4.3004 -0.0471
Rh 0.9919 2.5206 0.5093
Rh -1.4355 3.9845 4.2227
V 3.2694 1.8294 -0.5064
V -1.3113 3.1065 1.7095
```


[2]
Al2VRh3: optimized geometry, PBE-GGA. Values from VASP.

Summary:
* space-group type: P4/mmm, No. 123
* ΔH_f (0 K): -0.841 eV per atom
* size of the total moment: 0.4 Bohr magnetons per cell

The structure in Quantum ESPRESSO input format:
```
&SYSTEM
  ibrav = 0, nat = 6, ntyp = 3
/
ATOMIC_SPECIES
V 50.94 V.upf
Al 26.98 Al.upf
Rh 102.91 Rh.upf
CELL_PARAMETERS angstrom
-2.3976 1.2358 1.0186
-1.0268 -2.5935 0.7298
4.1931 0.8329 8.8598
ATOMIC_POSITIONS angstrom
V 0.3844 -0.2624 5.3041
Al -1.0326 -0.5439 2.3101
Rh 0.0000 0.0000 0.0000
Rh 1.3506 0.2683 2.8537
Al 1.8013 0.0191 8.2980
Rh 2.8425 0.5646 6.0061
```


[3]
AlV2Rh: optimized geometry, PBE-GGA. Values from VASP.

Summary:
* space-group type: I-42d, No. 122
* ΔH_f (0 K): 0.154 eV per atom
* size of the total moment: 0.0 Bohr magnetons per cell

The structure in Quantum ESPRESSO input format:
```
&SYSTEM
  ibrav = 0, nat = 8, ntyp = 3
/
ATOMIC_SPECIES
V 50.94 V.upf
Rh 102.91 Rh.upf
Al 26.98 Al.upf
CELL_PARAMETERS angstrom
-1.3905 -0.9820 -6.8473
-0.9535 -6.8904 1.1819
-3.5722 -3.5305 -2.4035
ATOMIC_POSITIONS angstrom
V -1.6232 -5.2840 -0.5233
V -4.7572 -9.7323 -6.7263
Rh 0.0000 0.0000 0.0000
Al -1.1720 -3.9362 -2.8327
Al -2.8488 -7.1786 -2.0272
Rh -3.0673 -4.2244 -6.0418
V -3.5310 -5.4040 -3.9608
V -1.9208 -2.3856 -4.9275
```


[4]
AlVRh3: optimized geometry, PBE-GGA. Values from VASP.

Summary:
* space-group type: Pm-3m, No. 221
* ΔH_f (0 K): 0.527 eV per atom
* size of the total moment: 1.1 Bohr magnetons per cell

The structure in Quantum ESPRESSO input format:
```
&SYSTEM
  ibrav = 0, nat = 5, ntyp = 3
/
ATOMIC_SPECIES
V 50.94 V.upf
Rh 102.91 Rh.upf
Al 26.98 Al.upf
CELL_PARAMETERS angstrom
4.4002 0.0000 0.0000
0.0000 4.4002 0.0000
0.0000 0.0000 4.4002
ATOMIC_POSITIONS angstrom
V 2.2001 2.2001 2.2001
Rh 2.2001 0.0000 0.0000
Rh 0.0000 0.0000 2.2001
Rh 0.0000 2.2001 0.0000
Al 0.0000 0.0000 0.0000
```


[5]
AlRhW2: optimized geometry, PBE-GGA. Values from VASP.

Summary:
* space-group type: C2/m, No. 12
* ΔH_f (0 K): -0.090 eV per atom
* size of the total moment: 0.0 Bohr magnetons per cell

The structure in Quantum ESPRESSO input format:
```
&SYSTEM
  ibrav = 0, nat = 4, ntyp = 3
/
ATOMIC_SPECIES
W 183.84 W.upf
Al 26.98 Al.upf
Rh 102.91 Rh.upf
CELL_PARAMETERS angstrom
-3.1573 3.6367 -1.6065
-1.2061 -2.5479 4.2223
0.8645 1.9243 1.7524
ATOMIC_POSITIONS angstrom
W 0.0000 0.0000 0.0000
Al -1.1464 2.7805 0.0729
Rh -0.1708 -0.3118 2.9873
W -2.1817 0.5444 1.3079
```


[6]
AlRh4W: optimized geometry, PBE-GGA. Values from VASP.

Summary:
* space-group type: F-43m, No. 216
* ΔH_f (0 K): 0.119 eV per atom
* size of the total moment: 0.0 Bohr magnetons per cell

The structure in Quantum ESPRESSO input format:
```
&SYSTEM
  ibrav = 0, nat = 6, ntyp = 3
/
ATOMIC_SPECIES
Rh 102.91 Rh.upf
W 183.84 W.upf
Al 26.98 Al.upf
CELL_PARAMETERS angstrom
-3.0039 -3.9928 -0.8277
-4.9849 0.3688 0.8162
-3.2127 0.0165 -3.9152
ATOMIC_POSITIONS angstrom
Rh -4.1976 -1.3519 -1.4715
Rh -6.6953 -1.1671 -1.0625
W -8.4011 -2.7056 -2.9451
Al 0.0000 0.0000 0.0000
Rh -5.7027 -3.3525 -1.8863
Rh -5.8074 -1.3436 -3.4333
```